Entry from the Alexandria database: Al6GeW after structural relaxation (PBEsol).

The value obtained for the electronic total energy is -5.516 eV per atom. As for the theoretical density: 5.56 g/cm3. Its density of states at the Fermi level is 2.474 states/eV/f.u. The value obtained for the energy of formation is -80 kJ/mol of formula units.

The space group is Pm-3 (No. 200) and the conventional cell measures 5.000, 5.000 and 5.000 Å, with angles of 90.00, 90.00 and 90.00 degrees. The distinct sites, in fractional coordinates, are Al at (0.000, 0.255, 0.500), Ge at (0.000, 0.000, 0.000) and W at (0.500, 0.500, 0.500).